# 1
Crystalline Ta4Cu at its relaxed geometry, computed with PBE-GGA.

## Properties
As for the total energy: -50.9 eV per cell. For the density of states at the Fermi level, the calculation gives 5.9 states/eV/f.u. The offset from the most stable computed form comes out at 0 meV/atom. Its magnetic moment is 0.000 μB per atom.

abc: 5.3179 5.3179 5.3179
angles: 95.93 95.93 142.51
With the nearest neighbours (Å) after each atom.
Fractional positions:
Ta  0.0918  0.2967  0.3885  2 Cu 2.80, 8 Ta 2.82-3.13
Ta  0.2967  0.9082  0.2049  2 Cu 2.80, 8 Ta 2.82-3.13
Ta  0.7033  0.0918  0.7951  2 Cu 2.80, 8 Ta 2.82-3.13
Ta  0.9082  0.7033  0.6115  2 Cu 2.80, 8 Ta 2.82-3.13
Cu  0.5000  0.5000  0.0000  8 Ta 2.80


# 2
Crystalline Ta3Cu2 at its relaxed geometry, computed with PBE-GGA.

## Properties
As for the total energy: -42.5 eV per cell. For the density of states at the Fermi level, the calculation gives 4.4 states/eV/f.u. Its magnetic moment is 0.000 μB per atom.

abc: 11.9944 11.9944 11.9944
angles: 13.45 13.45 13.45
With the nearest neighbours (Å) after each atom.
Fractional positions:
Ta  0.0000  0.0000  0.0000  6 Ta 2.81, 6 Cu 2.82
Ta  0.2039  0.2039  0.2039  9 Ta 2.81-3.11, 3 Cu 2.82
Ta  0.7961  0.7961  0.7961  9 Ta 2.81-3.11, 3 Cu 2.82
Cu  0.3979  0.3979  0.3979  6 Cu 2.81, 6 Ta 2.82
Cu  0.6021  0.6021  0.6021  6 Cu 2.81, 6 Ta 2.82


# 3
Crystalline TaCu at its relaxed geometry, computed with PBE-GGA.

## Properties
As for the total energy: -31.5 eV per cell. For the density of states at the Fermi level, the calculation gives 1.7 states/eV/f.u. Its magnetic moment is 0.000 μB per atom.

abc: 2.6749 4.2671 5.4835
angles: 90.00 104.04 90.00
With the nearest neighbours (Å) after each atom.
Fractional positions:
Ta  0.1712  0.2500  0.3413  2 Ta 2.67, 7 Cu 2.77-2.84
Ta  0.8288  0.7500  0.6587  2 Ta 2.67, 7 Cu 2.77-2.84
Cu  0.4371  0.2500  0.8751  4 Cu 2.51-2.67, 5 Ta 2.77-2.81
Cu  0.5629  0.7500  0.1249  4 Cu 2.51-2.67, 5 Ta 2.77-2.81


Values of ΔE_f, in order: 116; 257; 104, all in meV per atom.